(1)
# PBE-GGA RbSbI2N, optimized geometry
data_RbSbI2N
_chemical_formula_sum 'Rb1 Sb1 I2 N1'
_symmetry_space_group_name_H-M 'P 4/m m m'
_symmetry_Int_Tables_number 123
_symmetry_space_group_name_Hall '-P 4 2'
_cell_length_a 6.6740
_cell_length_b 6.6740
_cell_length_c 4.0735
_cell_angle_alpha 90.00
_cell_angle_beta 90.00
_cell_angle_gamma 90.00
loop_
_atom_site_label
_atom_site_fract_x
_atom_site_fract_y
_atom_site_fract_z
Rb1 0.0000 0.0000 0.0000
Sb1 0.5000 0.5000 0.0000
I1 0.0000 0.5000 0.5000
N1 0.5000 0.5000 0.5000
# Uncorrected formation energy = 0.218 eV per atom
# M_tot = 0.00 μB/f.u.
# Relative energy among the computed polymorphs = 314 meV/atom
# VASP energy = -3.085 eV per atom



(2)
# PBE-GGA Ni2AgAu, optimized geometry
data_Ni2AgAu
_chemical_formula_sum 'Ni8 Ag4 Au4'
_symmetry_space_group_name_H-M 'I -4 2 d'
_symmetry_Int_Tables_number 122
_symmetry_space_group_name_Hall 'I -4 2bw'
_cell_length_a 6.9458
_cell_length_b 6.9458
_cell_length_c 5.3051
_cell_angle_alpha 90.00
_cell_angle_beta 90.00
_cell_angle_gamma 90.00
loop_
_atom_site_label
_atom_site_fract_x
_atom_site_fract_y
_atom_site_fract_z
Ni1 0.2450 0.2500 0.1250
Ag1 0.0000 0.0000 0.5000
Au1 0.0000 0.0000 0.0000
# M_tot = 0.67 μB/f.u.
# VASP energy = -3.882 eV per atom



(3)
# PBE-GGA HoErH, optimized geometry
data_HoErH
_chemical_formula_sum 'Ho1 Er1 H1'
_symmetry_space_group_name_H-M 'P 3 m 1'
_symmetry_Int_Tables_number 156
_cell_length_a 3.5890
_cell_length_b 3.5890
_cell_length_c 5.5141
_cell_angle_alpha 90.00
_cell_angle_beta 90.00
_cell_angle_gamma 120.00
loop_
_symmetry_equiv_pos_as_xyz
'x,y,z'
'-y,x-y,z'
'-x+y,-x,z'
'-y,-x,z'
'-x+y,y,z'
'x,x-y,z'
loop_
_atom_site_label
_atom_site_fract_x
_atom_site_fract_y
_atom_site_fract_z
Ho1 0.0000 0.0000 0.0000
Er1 0.3333 0.6667 0.4905
H1 0.6667 0.3333 0.2465
# M_tot = 0.00 μB/f.u.
# Relative energy among the computed polymorphs = 0 meV/atom
# VASP energy = -4.411 eV per atom



(4)
# PBE-GGA SbIrPb2, optimized geometry
data_SbIrPb2
_chemical_formula_sum 'Sb1 Ir1 Pb2'
_symmetry_space_group_name_H-M 'P 4 m m'
_symmetry_Int_Tables_number 99
_cell_length_a 3.3553
_cell_length_b 3.3553
_cell_length_c 8.9213
_cell_angle_alpha 90.00
_cell_angle_beta 90.00
_cell_angle_gamma 90.00
loop_
_symmetry_equiv_pos_as_xyz
'x,y,z'
'-y,x,z'
'-x,-y,z'
'y,-x,z'
'-x,y,z'
'y,x,z'
'x,-y,z'
'-y,-x,z'
loop_
_atom_site_label
_atom_site_fract_x
_atom_site_fract_y
_atom_site_fract_z
Sb1 0.0000 0.0000 0.0000
Ir1 0.5000 0.5000 0.1548
Pb1 0.0000 0.0000 0.3826
Pb2 0.5000 0.5000 0.6955
# Uncorrected formation energy = 0.099 eV per atom
# M_tot = 0.00 μB/f.u.
# VASP energy = -5.001 eV per atom



(5)
# PBE-GGA ReTeIr2Ru, optimized geometry
data_ReTeIr2Ru
_chemical_formula_sum 'Re1 Te1 Ir2 Ru1'
_symmetry_space_group_name_H-M 'P 4/m m m'
_symmetry_Int_Tables_number 123
_symmetry_space_group_name_Hall '-P 4 2'
_cell_length_a 4.6221
_cell_length_b 4.6221
_cell_length_c 4.9288
_cell_angle_alpha 90.00
_cell_angle_beta 90.00
_cell_angle_gamma 90.00
loop_
_atom_site_label
_atom_site_fract_x
_atom_site_fract_y
_atom_site_fract_z
Re1 0.0000 0.0000 0.0000
Te1 0.5000 0.5000 0.0000
Ir1 0.0000 0.5000 0.5000
Ru1 0.5000 0.5000 0.5000
# Uncorrected formation energy = 2.165 eV per atom
# M_tot = 0.00 μB/f.u.
# VASP energy = -6.353 eV per atom



(6)
# PBE-GGA Sm8Co2Sn, optimized geometry
data_Sm8Co2Sn
_chemical_formula_sum 'Sm16 Co4 Sn2'
_symmetry_space_group_name_H-M 'C 1 2/m 1'
_symmetry_Int_Tables_number 12
_cell_length_a 8.7333
_cell_length_b 13.5182
_cell_length_c 5.3920
_cell_angle_alpha 90.00
_cell_angle_beta 103.25
_cell_angle_gamma 90.00
loop_
_symmetry_equiv_pos_as_xyz
'x,y,z'
'-x,-y,-z'
'-x,y,-z'
'x,-y,z'
'x+1/2,y+1/2,z'
'-x+1/2,-y+1/2,-z'
'-x+1/2,y+1/2,-z'
'x+1/2,-y+1/2,z'
loop_
_atom_site_label
_atom_site_fract_x
_atom_site_fract_y
_atom_site_fract_z
Sm1 0.0000 0.2487 0.0000
Sm2 0.1079 0.0000 0.8009
Sm3 0.1992 0.3719 0.5643
Co1 0.0000 0.1983 0.5000
Sn1 0.0000 0.5000 0.0000
# M_tot = 0.00 μB/f.u.
# VASP energy = -5.219 eV per atom



(7)
# PBE-GGA TiCo3S, optimized geometry
data_TiCo3S
_chemical_formula_sum 'Ti1 Co3 S1'
_symmetry_space_group_name_H-M 'P m -3 m'
_symmetry_Int_Tables_number 221
_symmetry_space_group_name_Hall '-P 4 2 3'
_cell_length_a 4.0797
_cell_length_b 4.0797
_cell_length_c 4.0797
_cell_angle_alpha 90.00
_cell_angle_beta 90.00
_cell_angle_gamma 90.00
loop_
_atom_site_label
_atom_site_fract_x
_atom_site_fract_y
_atom_site_fract_z
Ti1 0.0000 0.0000 0.0000
Co1 0.0000 0.5000 0.5000
S1 0.5000 0.5000 0.5000
# Uncorrected formation energy = 0.111 eV per atom
# M_tot = 2.90 μB/f.u.
# Relative energy among the computed polymorphs = 0 meV/atom
# VASP energy = -6.557 eV per atom



(8)
# PBE-GGA SrPrAs2Pt4, optimized geometry
data_SrPrAs2Pt4
_chemical_formula_sum 'Sr1 Pr1 As2 Pt4'
_symmetry_space_group_name_H-M 'P 4/m m m'
_symmetry_Int_Tables_number 123
_symmetry_space_group_name_Hall '-P 4 2'
_cell_length_a 4.6631
_cell_length_b 4.6631
_cell_length_c 8.6385
_cell_angle_alpha 90.00
_cell_angle_beta 90.00
_cell_angle_gamma 90.00
loop_
_atom_site_label
_atom_site_fract_x
_atom_site_fract_y
_atom_site_fract_z
Sr1 0.0000 0.0000 0.0000
Pr1 0.0000 0.0000 0.5000
As1 0.5000 0.5000 0.1829
Pt1 0.0000 0.5000 0.2718
# M_tot = 0.00 μB/f.u.
# VASP energy = -5.698 eV per atom



(9)
# PBE-GGA Y6C2N2O, optimized geometry
data_Y6C2N2O
_chemical_formula_sum 'Y12 C4 N4 O2'
_symmetry_space_group_name_H-M 'C 1 2/m 1'
_symmetry_Int_Tables_number 12
_cell_length_a 6.1490
_cell_length_b 10.6359
_cell_length_c 6.1096
_cell_angle_alpha 90.00
_cell_angle_beta 109.65
_cell_angle_gamma 90.00
loop_
_symmetry_equiv_pos_as_xyz
'x,y,z'
'-x,-y,-z'
'-x,y,-z'
'x,-y,z'
'x+1/2,y+1/2,z'
'-x+1/2,-y+1/2,-z'
'-x+1/2,y+1/2,-z'
'x+1/2,-y+1/2,z'
loop_
_atom_site_label
_atom_site_fract_x
_atom_site_fract_y
_atom_site_fract_z
Y1 0.2361 0.0000 0.2644
Y2 0.2459 0.1773 0.7503
C1 0.0000 0.3333 0.5000
N1 0.0000 0.1658 0.0000
O1 0.0000 0.0000 0.5000
# Uncorrected formation energy = -1.308 eV per atom
# M_tot = 0.36 μB/f.u.
# VASP energy = -8.475 eV per atom



(10)
# PBE-GGA Pa2GeO, optimized geometry
data_Pa2GeO
_chemical_formula_sum 'Pa2 Ge1 O1'
_symmetry_space_group_name_H-M 'P 4/m m m'
_symmetry_Int_Tables_number 123
_symmetry_space_group_name_Hall '-P 4 2'
_cell_length_a 3.1950
_cell_length_b 3.1950
_cell_length_c 7.1625
_cell_angle_alpha 90.00
_cell_angle_beta 90.00
_cell_angle_gamma 90.00
loop_
_atom_site_label
_atom_site_fract_x
_atom_site_fract_y
_atom_site_fract_z
Pa1 0.0000 0.0000 0.2192
Ge1 0.5000 0.5000 0.5000
O1 0.5000 0.5000 0.0000
# Uncorrected formation energy = -0.867 eV per atom
# M_tot = 2.31 μB/f.u.
# Relative energy among the computed polymorphs = 225 meV/atom
# VASP energy = -8.009 eV per atom



(11)
# PBE-GGA Dy5B2C5, optimized geometry
data_Dy5B2C5
_chemical_formula_sum 'Dy20 B8 C20'
_symmetry_space_group_name_H-M 'P 4/n c c'
_symmetry_Int_Tables_number 130
_cell_length_a 8.1650
_cell_length_b 8.1650
_cell_length_c 10.7529
_cell_angle_alpha 90.00
_cell_angle_beta 90.00
_cell_angle_gamma 90.00
loop_
_symmetry_equiv_pos_as_xyz
'x,y,z'
'-x,-y,-z'
'-y+1/2,x,z'
'y+1/2,-x,-z'
'-x+1/2,-y+1/2,z'
'x+1/2,y+1/2,-z'
'y,-x+1/2,z'
'-y,x+1/2,-z'
'x+1/2,-y,-z+1/2'
'-x+1/2,y,z+1/2'
'-y,-x,-z+1/2'
'y,x,z+1/2'
'-x,y+1/2,-z+1/2'
'x,-y+1/2,z+1/2'
'y+1/2,x+1/2,-z+1/2'
'-y+1/2,-x+1/2,z+1/2'
loop_
_atom_site_label
_atom_site_fract_x
_atom_site_fract_y
_atom_site_fract_z
Dy1 0.0366 0.6565 0.1002
Dy2 0.2500 0.2500 0.1400
B1 0.0938 0.5938 0.7500
C1 0.0521 0.6482 0.8758
C2 0.2500 0.2500 0.4017
# M_tot = 0.00 μB/f.u.
# VASP energy = -7.310 eV per atom



(12)
# PBE-GGA IrRu3, optimized geometry
data_IrRu3
_chemical_formula_sum 'Ir4 Ru12'
_symmetry_space_group_name_H-M 'F m -3 m'
_symmetry_Int_Tables_number 225
_symmetry_space_group_name_Hall '-F 4 2 3'
_cell_length_a 6.1525
_cell_length_b 6.1525
_cell_length_c 6.1525
_cell_angle_alpha 90.00
_cell_angle_beta 90.00
_cell_angle_gamma 90.00
loop_
_atom_site_label
_atom_site_fract_x
_atom_site_fract_y
_atom_site_fract_z
Ir1 0.0000 0.0000 0.0000
Ru1 0.0000 0.0000 0.5000
Ru2 0.2500 0.2500 0.2500
# M_tot = 0.88 μB/f.u.
# VASP energy = -8.584 eV per atom



(13)
# PBE-GGA K5AgTeS2, optimized geometry
data_K5AgTeS2
_chemical_formula_sum 'K5 Ag1 Te1 S2'
_symmetry_space_group_name_H-M 'P 4/m m m'
_symmetry_Int_Tables_number 123
_symmetry_space_group_name_Hall '-P 4 2'
_cell_length_a 5.9984
_cell_length_b 5.9984
_cell_length_c 10.7435
_cell_angle_alpha 90.00
_cell_angle_beta 90.00
_cell_angle_gamma 90.00
loop_
_atom_site_label
_atom_site_fract_x
_atom_site_fract_y
_atom_site_fract_z
K1 0.0000 0.0000 0.0000
K2 0.0000 0.5000 0.2262
Ag1 0.0000 0.0000 0.5000
Te1 0.5000 0.5000 0.0000
S1 0.0000 0.0000 0.2817
# Uncorrected formation energy = -0.894 eV per atom
# M_tot = 0.00 μB/f.u.
# VASP energy = -3.087 eV per atom



(14)
# PBE-GGA CaAc2YBi4, optimized geometry
data_CaAc2YBi4
_chemical_formula_sum 'Ca1 Ac2 Y1 Bi4'
_symmetry_space_group_name_H-M 'P 1 2/m 1'
_symmetry_Int_Tables_number 10
_cell_length_a 8.0403
_cell_length_b 4.7579
_cell_length_c 8.2716
_cell_angle_alpha 90.00
_cell_angle_beta 109.90
_cell_angle_gamma 90.00
loop_
_symmetry_equiv_pos_as_xyz
'x,y,z'
'-x,-y,-z'
'-x,y,-z'
'x,-y,z'
loop_
_atom_site_label
_atom_site_fract_x
_atom_site_fract_y
_atom_site_fract_z
Ca1 0.0000 0.0000 0.0000
Ac1 0.5000 0.0000 0.5000
Ac2 0.5000 0.5000 0.0000
Y1 0.0000 0.5000 0.5000
Bi1 0.2288 0.0000 0.7388
Bi2 0.2310 0.5000 0.2484
# M_tot = 0.00 μB/f.u.
# VASP energy = -4.888 eV per atom



(15)
# PBE-GGA MgNiAuSe, optimized geometry
data_MgNiAuSe
_chemical_formula_sum 'Mg1 Ni1 Au1 Se1'
_symmetry_space_group_name_H-M 'P 1'
_symmetry_Int_Tables_number 1
_cell_length_a 3.3187
_cell_length_b 4.7247
_cell_length_c 5.4194
_cell_angle_alpha 75.36
_cell_angle_beta 81.95
_cell_angle_gamma 72.79
loop_
_symmetry_equiv_pos_as_xyz
'x,y,z'
loop_
_atom_site_label
_atom_site_fract_x
_atom_site_fract_y
_atom_site_fract_z
Mg1 0.0000 0.0000 0.0000
Ni1 0.2688 0.3836 0.1684
Au1 0.7292 0.6269 0.8032
Se1 0.7807 0.2006 0.4568
# Uncorrected formation energy = -0.244 eV per atom
# M_tot = 0.00 μB/f.u.
# Relative energy among the computed polymorphs = 106 meV/atom
# VASP energy = -3.779 eV per atom



(16)
# PBE-GGA Sr2BrCl, optimized geometry
data_Sr2BrCl
_chemical_formula_sum 'Sr4 Br2 Cl2'
_symmetry_space_group_name_H-M 'C 1 2/m 1'
_symmetry_Int_Tables_number 12
_cell_length_a 8.0032
_cell_length_b 9.6087
_cell_length_c 4.4215
_cell_angle_alpha 90.00
_cell_angle_beta 116.80
_cell_angle_gamma 90.00
loop_
_symmetry_equiv_pos_as_xyz
'x,y,z'
'-x,-y,-z'
'-x,y,-z'
'x,-y,z'
'x+1/2,y+1/2,z'
'-x+1/2,-y+1/2,-z'
'-x+1/2,y+1/2,-z'
'x+1/2,-y+1/2,z'
loop_
_atom_site_label
_atom_site_fract_x
_atom_site_fract_y
_atom_site_fract_z
Sr1 0.2500 0.2500 0.0000
Br1 0.0000 0.0000 0.0000
Cl1 0.0000 0.5000 0.0000
# Uncorrected formation energy = -1.432 eV per atom
# M_tot = 1.06 μB/f.u.
# Relative energy among the computed polymorphs = 170 meV/atom
# VASP energy = -3.153 eV per atom



(17)
# PBE-GGA NdSm8Ho3, optimized geometry
data_NdSm8Ho3
_chemical_formula_sum 'Nd2 Sm16 Ho6'
_symmetry_space_group_name_H-M 'C 1 2 1'
_symmetry_Int_Tables_number 5
_cell_length_a 15.5551
_cell_length_b 8.7801
_cell_length_c 6.4209
_cell_angle_alpha 90.00
_cell_angle_beta 114.12
_cell_angle_gamma 90.00
loop_
_symmetry_equiv_pos_as_xyz
'x,y,z'
'-x,y,-z'
'x+1/2,y+1/2,z'
'-x+1/2,y+1/2,-z'
loop_
_atom_site_label
_atom_site_fract_x
_atom_site_fract_y
_atom_site_fract_z
Nd1 0.0000 0.0000 0.0000
Sm1 0.0692 0.6902 0.3204
Sm2 0.1278 0.0538 0.6384
Sm3 0.1722 0.6943 0.9255
Sm4 0.2477 0.4413 0.6536
Ho1 0.0000 0.3792 0.5000
Ho2 0.1250 0.3345 0.1031
# M_tot = 0.00 μB/f.u.
# VASP energy = -4.574 eV per atom



(18)
# PBE-GGA MnZn2H, optimized geometry
data_MnZn2H
_chemical_formula_sum 'Mn4 Zn8 H4'
_symmetry_space_group_name_H-M 'I -4 2 d'
_symmetry_Int_Tables_number 122
_symmetry_space_group_name_Hall 'I -4 2bw'
_cell_length_a 6.6861
_cell_length_b 6.6861
_cell_length_c 4.2435
_cell_angle_alpha 90.00
_cell_angle_beta 90.00
_cell_angle_gamma 90.00
loop_
_atom_site_label
_atom_site_fract_x
_atom_site_fract_y
_atom_site_fract_z
Mn1 0.0000 0.0000 0.0000
Zn1 0.1632 0.2500 0.6250
H1 0.0000 0.0000 0.5000
# M_tot = 2.90 μB/f.u.
# Relative energy among the computed polymorphs = 0 meV/atom
# VASP energy = -3.417 eV per atom



(19)
# PBE-GGA KCd3Pb3, optimized geometry
data_KCd3Pb3
_chemical_formula_sum 'K2 Cd6 Pb6'
_symmetry_space_group_name_H-M 'P m -3 n'
_symmetry_Int_Tables_number 223
_symmetry_space_group_name_Hall '-P 4n 2 3'
_cell_length_a 8.2879
_cell_length_b 8.2879
_cell_length_c 8.2879
_cell_angle_alpha 90.00
_cell_angle_beta 90.00
_cell_angle_gamma 90.00
loop_
_atom_site_label
_atom_site_fract_x
_atom_site_fract_y
_atom_site_fract_z
K1 0.0000 0.0000 0.0000
Cd1 0.0000 0.2500 0.5000
Pb1 0.0000 0.5000 0.2500
# M_tot = 0.00 μB/f.u.
# Relative energy among the computed polymorphs = 160 meV/atom
# VASP energy = -1.982 eV per atom



(20)
# PBE-GGA ZnAuSe, optimized geometry
data_ZnAuSe
_chemical_formula_sum 'Zn2 Au2 Se2'
_symmetry_space_group_name_H-M 'C 1 m 1'
_symmetry_Int_Tables_number 8
_cell_length_a 7.4324
_cell_length_b 2.8636
_cell_length_c 6.3984
_cell_angle_alpha 90.00
_cell_angle_beta 105.17
_cell_angle_gamma 90.00
loop_
_symmetry_equiv_pos_as_xyz
'x,y,z'
'x,-y,z'
'x+1/2,y+1/2,z'
'x+1/2,-y+1/2,z'
loop_
_atom_site_label
_atom_site_fract_x
_atom_site_fract_y
_atom_site_fract_z
Zn1 0.0000 0.0000 0.0000
Au1 0.4081 0.0000 0.6526
Se1 0.2840 0.5000 0.2435
# Uncorrected formation energy = -0.107 eV per atom
# M_tot = 0.00 μB/f.u.
# Relative energy among the computed polymorphs = 85 meV/atom
# VASP energy = -2.785 eV per atom



(21)
# PBE-GGA Rb2SrBiF6, optimized geometry
data_Rb2SrBiF6
_chemical_formula_sum 'Rb4 Sr2 Bi2 F12'
_symmetry_space_group_name_H-M 'I 4/m m m'
_symmetry_Int_Tables_number 139
_symmetry_space_group_name_Hall '-I 4 2'
_cell_length_a 6.8661
_cell_length_b 6.8661
_cell_length_c 9.4983
_cell_angle_alpha 90.00
_cell_angle_beta 90.00
_cell_angle_gamma 90.00
loop_
_atom_site_label
_atom_site_fract_x
_atom_site_fract_y
_atom_site_fract_z
Rb1 0.0000 0.5000 0.2500
Sr1 0.0000 0.0000 0.0000
Bi1 0.0000 0.0000 0.5000
F1 0.0000 0.0000 0.2539
F2 0.2485 0.2485 0.0000
# Uncorrected formation energy = -2.696 eV per atom
# M_tot = 0.00 μB/f.u.
# VASP energy = -4.568 eV per atom



(22)
# PBE-GGA RbEu2Cl7, optimized geometry
data_RbEu2Cl7
_chemical_formula_sum 'Rb4 Eu8 Cl28'
_symmetry_space_group_name_H-M 'P n m a'
_symmetry_Int_Tables_number 62
_cell_length_a 13.5337
_cell_length_b 7.0853
_cell_length_c 13.3366
_cell_angle_alpha 90.00
_cell_angle_beta 90.00
_cell_angle_gamma 90.00
loop_
_symmetry_equiv_pos_as_xyz
'x,y,z'
'-x,-y,-z'
'-x+1/2,-y,z+1/2'
'x+1/2,y,-z+1/2'
'x+1/2,-y+1/2,-z+1/2'
'-x+1/2,y+1/2,z+1/2'
'-x,y+1/2,-z'
'x,-y+1/2,z'
loop_
_atom_site_label
_atom_site_fract_x
_atom_site_fract_y
_atom_site_fract_z
Rb1 0.0303 0.2500 0.2012
Eu1 0.2424 0.2500 0.5428
Eu2 0.2489 0.7500 0.3398
Cl1 0.1051 0.7500 0.1888
Cl2 0.1223 0.0123 0.4229
Cl3 0.1289 0.0088 0.9575
Cl4 0.1712 0.0087 0.6934
# Uncorrected formation energy = -1.902 eV per atom
# M_tot = 0.02 μB/f.u.
# VASP energy = -5.346 eV per atom